(1)
Below is a geometry-optimized HgGe3Mo structure, with properties calculated at the GGA-PBEsol level.

The space group is Pm-3m (No. 221) and the conventional cell measures 4.865, 4.865 and 4.865 Å, with angles of 90.00, 90.00 and 90.00 degrees. The distinct sites, in fractional coordinates, are Hg at (0.000, 0.000, 0.000), Ge at (0.000, 0.500, 0.500) and Mo at (0.500, 0.500, 0.500).

The total energy comes out at -25.73 eV for the cell shown. For the formation energy, the calculation gives 0.285 eV per atom. The value obtained for the total magnetization is 0.00 μB per formula unit.

(2)
Below is a geometry-optimized HgGeN3 structure, with properties calculated at the GGA-PBEsol level.

The space group is Pm-3m (No. 221) and the conventional cell measures 4.212, 4.212 and 4.212 Å, with angles of 90.00, 90.00 and 90.00 degrees. The distinct sites, in fractional coordinates, are Hg at (0.000, 0.000, 0.000), Ge at (0.500, 0.500, 0.500) and N at (0.000, 0.000, 0.500).

Its uncorrected formation energy is 12.13 eV per formula unit. The total energy comes out at -18.96 eV for the cell shown. The value obtained for the total magnetization is 3.09 μB per formula unit.

(3)
Below is a geometry-optimized Ni2HgGeOs structure, with properties calculated at the GGA-PBEsol level.

The space group is P4/mmm (No. 123) and the conventional cell measures 4.203, 4.203 and 4.835 Å, with angles of 90.00, 90.00 and 90.00 degrees. The distinct sites, in fractional coordinates, are Ni at (0.000, 0.500, 0.000), Hg at (0.000, 0.000, 0.500), Ge at (0.000, 0.000, 0.000) and Os at (0.500, 0.500, 0.500).

The total energy comes out at -22.93 eV for the cell shown. For the formation energy, the calculation gives 1.421 eV per atom. The value obtained for the total magnetization is 1.90 μB per formula unit.

(4)
Below is a geometry-optimized Ta2NiHgGe structure, with properties calculated at the GGA-PBEsol level.

The space group is P4/mmm (No. 123) and the conventional cell measures 4.747, 4.747 and 4.192 Å, with angles of 90.00, 90.00 and 90.00 degrees. The distinct sites, in fractional coordinates, are Ta at (0.000, 0.500, 0.000), Ni at (0.000, 0.000, 0.500), Hg at (0.500, 0.500, 0.500) and Ge at (0.000, 0.000, 0.000).

The total energy comes out at -32.41 eV for the cell shown. For the formation energy, the calculation gives 0.870 eV per atom. The value obtained for the total magnetization is 0.00 μB per formula unit.

(5)
Below is a geometry-optimized HgGeO3 structure, with properties calculated at the GGA-PBEsol level.

The space group is Pm-3m (No. 221) and the conventional cell measures 4.100, 4.100 and 4.100 Å, with angles of 90.00, 90.00 and 90.00 degrees. The distinct sites, in fractional coordinates, are Hg at (0.000, 0.000, 0.000), Ge at (0.500, 0.500, 0.500) and O at (0.000, 0.000, 0.500).

Its uncorrected formation energy is 1.36 eV per formula unit. The total energy comes out at -19.90 eV for the cell shown. The value obtained for the total magnetization is 0.00 μB per formula unit.

(6)
Below is a geometry-optimized TaHg2GeO structure, with properties calculated at the GGA-PBEsol level.

The space group is P4/mmm (No. 123) and the conventional cell measures 4.851, 4.851 and 4.887 Å, with angles of 90.00, 90.00 and 90.00 degrees. The distinct sites, in fractional coordinates, are Ta at (0.000, 0.000, 0.000), Hg at (0.000, 0.500, 0.500), Ge at (0.000, 0.000, 0.500) and O at (0.500, 0.500, 0.000).

Its uncorrected formation energy is 6.65 eV per formula unit. The total energy comes out at -17.22 eV for the cell shown. The value obtained for the total magnetization is 0.01 μB per formula unit.

(7)
Below is a geometry-optimized HgGePS2 structure, with properties calculated at the GGA-PBEsol level.

The space group is P4/mmm (No. 123) and the conventional cell measures 4.910, 4.910 and 4.850 Å, with angles of 90.00, 90.00 and 90.00 degrees. The distinct sites, in fractional coordinates, are Hg at (0.000, 0.000, 0.000), Ge at (0.500, 0.500, 0.500), P at (0.000, 0.000, 0.500) and S at (0.000, 0.500, 0.000).

Its uncorrected formation energy is 5.00 eV per formula unit. The total energy comes out at -15.07 eV for the cell shown. The value obtained for the total magnetization is 0.00 μB per formula unit.

(8)
Below is a geometry-optimized Hg2GeSbP structure, with properties calculated at the GGA-PBEsol level.

The space group is P4/mmm (No. 123) and the conventional cell measures 4.961, 4.961 and 5.403 Å, with angles of 90.00, 90.00 and 90.00 degrees. The distinct sites, in fractional coordinates, are Hg at (0.000, 0.500, 0.000), Ge at (0.000, 0.000, 0.000), Sb at (0.000, 0.000, 0.500) and P at (0.500, 0.500, 0.500).

Its uncorrected formation energy is 3.78 eV per formula unit. The total energy comes out at -12.64 eV for the cell shown. The value obtained for the total magnetization is 0.00 μB per formula unit.

(9)
Below is a geometry-optimized SiHgGeP2 structure, with properties calculated at the GGA-PBEsol level.

The space group is P4/mmm (No. 123) and the conventional cell measures 4.528, 4.528 and 4.955 Å, with angles of 90.00, 90.00 and 90.00 degrees. The distinct sites, in fractional coordinates, are Si at (0.000, 0.000, 0.000), Hg at (0.000, 0.000, 0.500), Ge at (0.500, 0.500, 0.500) and P at (0.000, 0.500, 0.000).

Its uncorrected formation energy is 3.34 eV per formula unit. The total energy comes out at -19.49 eV for the cell shown. The value obtained for the total magnetization is 0.00 μB per formula unit.

(10)
Below is a geometry-optimized HgGeTe2Pd structure, with properties calculated at the GGA-PBEsol level.

The space group is P4/mmm (No. 123) and the conventional cell measures 5.398, 5.398 and 4.613 Å, with angles of 90.00, 90.00 and 90.00 degrees. The distinct sites, in fractional coordinates, are Hg at (0.000, 0.000, 0.000), Ge at (0.500, 0.500, 0.000), Te at (0.000, 0.500, 0.500) and Pd at (0.500, 0.500, 0.500).

Its uncorrected formation energy is 1.22 eV per formula unit. The total energy comes out at -17.30 eV for the cell shown. The value obtained for the total magnetization is 0.00 μB per formula unit.

(11)
Below is a geometry-optimized Pm2HgGe structure, with properties calculated at the GGA-PBEsol level.

The space group is Fm-3m (No. 225) and the conventional cell measures 7.328, 7.328 and 7.328 Å, with angles of 90.00, 90.00 and 90.00 degrees. The distinct sites, in fractional coordinates, are Pm at (0.250, 0.250, 0.250), Hg at (0.000, 0.000, 0.000) and Ge at (0.000, 0.000, 0.500).

The total energy comes out at -73.37 eV for the cell shown. For the formation energy, the calculation gives -0.641 eV per atom. The value obtained for the total magnetization is 0.00 μB per formula unit.

(12)
Below is a geometry-optimized Pu2HgGe structure, with properties calculated at the GGA-PBEsol level.

The space group is Fm-3m (No. 225) and the conventional cell measures 7.171, 7.171 and 7.171 Å, with angles of 90.00, 90.00 and 90.00 degrees. The distinct sites, in fractional coordinates, are Pu at (0.250, 0.250, 0.250), Hg at (0.000, 0.000, 0.000) and Ge at (0.000, 0.000, 0.500).

The total energy comes out at -142.99 eV for the cell shown. For the formation energy, the calculation gives 0.016 eV per atom. The value obtained for the total magnetization is 11.89 μB per formula unit.

> What is the total energy in the eighth record?

-12.64 eV for the cell shown

> The lowest total energy belongs to which entry?

Pu2HgGe